Entry 1:
# TlSn2 (PBE, optimized geometry)
data_TlSn2
_cell_length_a 4.278
_cell_length_b 6.699
_cell_length_c 12.946
_cell_angle_alpha 90.00
_cell_angle_beta 90.00
_cell_angle_gamma 90.00
_symmetry_space_group_name_H-M 'I m m m'
_symmetry_Int_Tables_number 71
_symmetry_space_group_name_Hall '-I 2 2'
loop_
_atom_site_label
_atom_site_type_symbol
_atom_site_fract_x
_atom_site_fract_y
_atom_site_fract_z
_atom_site_occupancy
Tl1 Tl 0.000 0.000 0.179 1
Sn1 Sn 0.000 0.258 0.500 1
Sn2 Sn 0.000 0.500 0.124 1
# Energy (eV per atom): -3.4134
# Polymorph energy (0 for the lowest one) (meV/atom): 18

***

Entry 2:
# Tl4Sn (PBE, optimized geometry)
data_Tl4Sn
_cell_length_a 5.854
_cell_length_b 5.854
_cell_length_c 5.854
_cell_angle_alpha 90.00
_cell_angle_beta 90.00
_cell_angle_gamma 90.00
_symmetry_space_group_name_H-M 'P m -3 m'
_symmetry_Int_Tables_number 221
_symmetry_space_group_name_Hall '-P 4 2 3'
loop_
_atom_site_label
_atom_site_type_symbol
_atom_site_fract_x
_atom_site_fract_y
_atom_site_fract_z
_atom_site_occupancy
Tl1 Tl 0.000 0.000 0.000 1
Tl2 Tl 0.000 0.500 0.500 1
Sn1 Sn 0.500 0.500 0.500 1
# Energy (eV per atom): -2.3776
# Polymorph energy (0 for the lowest one) (meV/atom): 298

***

Entry 3:
# Tl13Sn3 (PBE, optimized geometry)
data_Tl13Sn3
_cell_length_a 9.017
_cell_length_b 10.839
_cell_length_c 10.022
_cell_angle_alpha 90.00
_cell_angle_beta 90.00
_cell_angle_gamma 90.00
_symmetry_space_group_name_H-M 'A m m 2'
_symmetry_Int_Tables_number 38
loop_
_symmetry_equiv_pos_as_xyz
'x,y,z'
'-x,-y,z'
'-x,y,z'
'x,-y,z'
'x,y+1/2,z+1/2'
'-x,-y+1/2,z+1/2'
'-x,y+1/2,z+1/2'
'x,-y+1/2,z+1/2'
loop_
_atom_site_label
_atom_site_type_symbol
_atom_site_fract_x
_atom_site_fract_y
_atom_site_fract_z
_atom_site_occupancy
Tl1 Tl 0.000 0.000 0.000 1
Tl2 Tl 0.000 0.000 0.501 1
Tl3 Tl 0.000 0.246 0.252 1
Tl4 Tl 0.251 0.249 0.004 1
Tl5 Tl 0.275 0.000 0.762 1
Tl6 Tl 0.500 0.000 0.483 1
Tl7 Tl 0.500 0.238 0.253 1
Sn1 Sn 0.242 0.000 0.243 1
Sn2 Sn 0.500 0.000 0.036 1
# Energy (eV per atom): -2.6527

***

Entry 4:
# Tm3TlSn (PBE, optimized geometry)
data_Tm3TlSn
_cell_length_a 13.312
_cell_length_b 13.665
_cell_length_c 6.384
_cell_angle_alpha 90.00
_cell_angle_beta 99.52
_cell_angle_gamma 90.00
_symmetry_space_group_name_H-M 'C 1 2/c 1'
_symmetry_Int_Tables_number 15
loop_
_symmetry_equiv_pos_as_xyz
'x,y,z'
'-x,-y,-z'
'-x,y,-z+1/2'
'x,-y,z+1/2'
'x+1/2,y+1/2,z'
'-x+1/2,-y+1/2,-z'
'-x+1/2,y+1/2,-z+1/2'
'x+1/2,-y+1/2,z+1/2'
loop_
_atom_site_label
_atom_site_type_symbol
_atom_site_fract_x
_atom_site_fract_y
_atom_site_fract_z
_atom_site_occupancy
Tm1 Tm 0.082 0.128 0.018 1
Tm2 Tm 0.182 0.446 0.128 1
Tm3 Tm 0.187 0.291 0.697 1
Tl1 Tl 0.000 0.318 0.250 1
Tl2 Tl 0.000 0.412 0.750 1
Sn1 Sn 0.146 0.088 0.508 1
# Energy (eV per atom): -4.2815

***

Entry 5:
# Tm4Tl2Sn (PBE, optimized geometry)
data_Tm4Tl2Sn
_cell_length_a 9.195
_cell_length_b 9.195
_cell_length_c 9.224
_cell_angle_alpha 90.00
_cell_angle_beta 90.00
_cell_angle_gamma 90.00
_symmetry_space_group_name_H-M 'I -4 2 d'
_symmetry_Int_Tables_number 122
_symmetry_space_group_name_Hall 'I -4 2bw'
loop_
_atom_site_label
_atom_site_type_symbol
_atom_site_fract_x
_atom_site_fract_y
_atom_site_fract_z
_atom_site_occupancy
Tm1 Tm 0.072 0.678 0.450 1
Tl1 Tl 0.120 0.750 0.125 1
Sn1 Sn 0.000 0.000 0.500 1
# Energy (eV per atom): -4.1710

***

Entry 6:
# Tm8Tl5Sn (PBE, optimized geometry)
data_Tm8Tl5Sn
_cell_length_a 9.209
_cell_length_b 9.209
_cell_length_c 9.234
_cell_angle_alpha 90.00
_cell_angle_beta 90.00
_cell_angle_gamma 90.00
_symmetry_space_group_name_H-M 'I -4'
_symmetry_Int_Tables_number 82
loop_
_symmetry_equiv_pos_as_xyz
'x,y,z'
'y,-x,-z'
'-x,-y,z'
'-y,x,-z'
'x+1/2,y+1/2,z+1/2'
'y+1/2,-x+1/2,-z+1/2'
'-x+1/2,-y+1/2,z+1/2'
'-y+1/2,x+1/2,-z+1/2'
loop_
_atom_site_label
_atom_site_type_symbol
_atom_site_fract_x
_atom_site_fract_y
_atom_site_fract_z
_atom_site_occupancy
Tm1 Tm 0.070 0.175 0.203 1
Tm2 Tm 0.076 0.320 0.556 1
Tl1 Tl 0.000 0.500 0.250 1
Tl2 Tl 0.123 0.251 0.880 1
Sn1 Sn 0.000 0.000 0.500 1
# Energy (eV per atom): -3.9780

***

Entry 7:
# Tm6Tl3Sn (PBE, optimized geometry)
data_Tm6Tl3Sn
_cell_length_a 9.997
_cell_length_b 16.914
_cell_length_c 6.760
_cell_angle_alpha 90.00
_cell_angle_beta 90.00
_cell_angle_gamma 90.00
_symmetry_space_group_name_H-M 'C m c 21'
_symmetry_Int_Tables_number 36
loop_
_symmetry_equiv_pos_as_xyz
'x,y,z'
'-x,-y,z+1/2'
'-x,y,z'
'x,-y,z+1/2'
'x+1/2,y+1/2,z'
'-x+1/2,-y+1/2,z+1/2'
'-x+1/2,y+1/2,z'
'x+1/2,-y+1/2,z+1/2'
loop_
_atom_site_label
_atom_site_type_symbol
_atom_site_fract_x
_atom_site_fract_y
_atom_site_fract_z
_atom_site_occupancy
Tm1 Tm 0.000 0.008 0.000 1
Tm2 Tm 0.000 0.298 0.996 1
Tm3 Tm 0.181 0.267 0.508 1
Tm4 Tm 0.208 0.437 0.778 1
Tl1 Tl 0.000 0.427 0.417 1
Tl2 Tl 0.197 0.110 0.735 1
Sn1 Sn 0.000 0.153 0.268 1
# Energy (eV per atom): -4.0241

***

Entry 8:
# Tm12Tl6Sn (PBE, optimized geometry)
data_Tm12Tl6Sn
_cell_length_a 13.4908
_cell_length_b 13.4908
_cell_length_c 12.1448
_cell_angle_alpha 90.00
_cell_angle_beta 90.00
_cell_angle_gamma 120.00
_symmetry_space_group_name_H-M 'R -3'
_symmetry_Int_Tables_number 148
_symmetry_space_group_name_Hall '-R 3'
loop_
_atom_site_label
_atom_site_type_symbol
_atom_site_fract_x
_atom_site_fract_y
_atom_site_fract_z
_atom_site_occupancy
Tm1 Tm 0.0377 0.2151 0.3917 1
Tm2 Tm 0.0463 0.2192 0.8920 1
Tl1 Tl 0.0486 0.2597 0.6500 1
Sn1 Sn 0.0000 0.0000 0.0000 1
# Energy (eV per atom): -3.7866

***

Entry 9:
# TmTlSn (PBE, optimized geometry)
data_TmTlSn
_cell_length_a 5.1815
_cell_length_b 5.1815
_cell_length_c 6.9343
_cell_angle_alpha 90.00
_cell_angle_beta 90.00
_cell_angle_gamma 120.00
_symmetry_space_group_name_H-M 'P -3 m 1'
_symmetry_Int_Tables_number 164
_symmetry_space_group_name_Hall '-P 3 2"'
loop_
_atom_site_label
_atom_site_type_symbol
_atom_site_fract_x
_atom_site_fract_y
_atom_site_fract_z
_atom_site_occupancy
Tm1 Tm 0.0000 0.0000 0.2410 1
Tl1 Tl 0.3333 0.6667 0.4401 1
Sn1 Sn 0.3333 0.6667 0.9575 1
# Energy (eV per atom): -3.8360
# Polymorph energy (0 for the lowest one) (meV/atom): 3

***

Entry 10:
# Tm3TlSn2 (PBE, optimized geometry)
data_Tm3TlSn2
_cell_length_a 16.376
_cell_length_b 6.251
_cell_length_c 6.306
_cell_angle_alpha 90.00
_cell_angle_beta 101.33
_cell_angle_gamma 90.00
_symmetry_space_group_name_H-M 'C 1 2/c 1'
_symmetry_Int_Tables_number 15
loop_
_symmetry_equiv_pos_as_xyz
'x,y,z'
'-x,-y,-z'
'-x,y,-z+1/2'
'x,-y,z+1/2'
'x+1/2,y+1/2,z'
'-x+1/2,-y+1/2,-z'
'-x+1/2,y+1/2,-z+1/2'
'x+1/2,-y+1/2,z+1/2'
loop_
_atom_site_label
_atom_site_type_symbol
_atom_site_fract_x
_atom_site_fract_y
_atom_site_fract_z
_atom_site_occupancy
Tm1 Tm 0.000 0.122 0.250 1
Tm2 Tm 0.171 0.385 0.594 1
Tl1 Tl 0.000 0.381 0.750 1
Sn1 Sn 0.163 0.110 0.067 1
# Energy (eV per atom): -4.4462

***

Entry 11:
# Tm5Tl2Sn (PBE, optimized geometry)
data_Tm5Tl2Sn
_cell_length_a 8.046
_cell_length_b 8.046
_cell_length_c 13.668
_cell_angle_alpha 90.00
_cell_angle_beta 90.00
_cell_angle_gamma 90.00
_symmetry_space_group_name_H-M 'I 4/m c m'
_symmetry_Int_Tables_number 140
_symmetry_space_group_name_Hall '-I 4 2c'
loop_
_atom_site_label
_atom_site_type_symbol
_atom_site_fract_x
_atom_site_fract_y
_atom_site_fract_z
_atom_site_occupancy
Tm1 Tm 0.000 0.000 0.000 1
Tm2 Tm 0.156 0.344 0.153 1
Tl1 Tl 0.140 0.360 0.500 1
Sn1 Sn 0.000 0.000 0.250 1
# Energy (eV per atom): -4.2751

***

Entry 12:
# Tm6TlSn3 (PBE, optimized geometry)
data_Tm6TlSn3
_cell_length_a 12.030
_cell_length_b 12.027
_cell_length_c 7.644
_cell_angle_alpha 90.00
_cell_angle_beta 90.00
_cell_angle_gamma 90.00
_symmetry_space_group_name_H-M 'C m c 21'
_symmetry_Int_Tables_number 36
loop_
_symmetry_equiv_pos_as_xyz
'x,y,z'
'-x,-y,z+1/2'
'-x,y,z'
'x,-y,z+1/2'
'x+1/2,y+1/2,z'
'-x+1/2,-y+1/2,z+1/2'
'-x+1/2,y+1/2,z'
'x+1/2,-y+1/2,z+1/2'
loop_
_atom_site_label
_atom_site_type_symbol
_atom_site_fract_x
_atom_site_fract_y
_atom_site_fract_z
_atom_site_occupancy
Tm1 Tm 0.000 0.129 0.000 1
Tm2 Tm 0.000 0.164 0.506 1
Tm3 Tm 0.149 0.481 0.507 1
Tm4 Tm 0.247 0.256 0.248 1
Tl1 Tl 0.000 0.343 0.790 1
Sn1 Sn 0.000 0.348 0.225 1
Sn2 Sn 0.156 0.007 0.257 1
# Energy (eV per atom): -4.6078

***

In eV per atom, the ΔE_f values for the records above are, in order, 0.04, 0.32, 0.02, -0.32, -0.37, -0.29, -0.23, 0.00, -0.22, -0.48, -0.39, -0.49.